8
Lattice="4.1585 0.0000 0.0000 0.0000 4.1585 0.0000 0.0000 0.0000 8.0027" Properties=species:S:1:pos:R:3 comment="SmTlNO (PBE, optimized geometry)" crystal_system=tetragonal rho_g_cm3=9.23 total_energy_ev_per_atom=-5.967 e_above_lowest_polymorph_mev_per_atom=308 sg="P4/nmm (129)" pbc="T T T"
Tl 2.0793 2.0793 4.0013
O 2.0793 2.0793 0.0000
Tl 0.0000 0.0000 4.0013
O 0.0000 0.0000 0.0000
N 2.0793 0.0000 5.3878
N 0.0000 2.0793 2.6148
Sm 0.0000 2.0793 6.9719
Sm 2.0793 0.0000 1.0308